DFT (PBE) results for LiZrP3 after structural relaxation.

Structure (extended XYZ):
```
5
Lattice="4.339 0.000 0.000 0.000 4.339 0.000 0.000 0.000 4.339" Properties=species:S:1:pos:R:3 pbc="T T T"
Li 0.000 0.000 0.000
P 0.000 0.000 2.170
P 0.000 2.170 0.000
P 2.170 0.000 0.000
Zr 2.170 2.170 2.170
```

Summary:
Mass density = 3.88 g/cm3
Energy relative to the elements = 0.29 eV per atom
Fermi-level density of states = 3.73 states/eV/f.u.